This record from Alexandria via LeMat-Bulk describes an optimized crystal structure of TiNbP2. The functional is PBE.

Its formation energy is -0.269 eV/atom.

Lattice parameters (Å, degrees): 5.570 5.570 11.138 90.00 90.00 90.00
Space group I-42d (No. 122)
Unique sites:
Ti 0.000 0.000 0.000 [4 per cell]
Nb 0.000 0.000 0.500 [4 per cell]
P 0.246 0.250 0.125 [8 per cell]

=====

This record from Alexandria via LeMat-Bulk describes an optimized crystal structure of TcWAu. The functional is PBE.

Its formation energy is 0.284 eV/atom.

Lattice parameters (Å, degrees): 2.703 4.184 8.480 90.00 90.00 90.00
Space group Imm2 (No. 44)
Unique sites:
Tc 0.000 0.000 0.000 [2 per cell]
W 0.000 0.000 0.664 [2 per cell]
Au 0.000 0.000 0.333 [2 per cell]

=====

This record from Alexandria via LeMat-Bulk describes an optimized crystal structure of CaTaIn2. The functional is PBE.

Its formation energy is 0.655 eV/atom.

Lattice parameters (Å, degrees): 4.731 4.731 20.171 90.00 90.00 90.00
Space group I-42d (No. 122)
Unique sites:
Ca 0.000 0.000 0.000 [4 per cell]
Ta 0.000 0.000 0.500 [4 per cell]
In 0.187 0.250 0.625 [8 per cell]

=====

This record from Alexandria via LeMat-Bulk describes an optimized crystal structure of Cd3Ag. The functional is PBE.

Its formation energy is 0.003 eV/atom.

Lattice parameters (Å, degrees): 9.912 3.313 5.214 90.00 101.15 90.00
Space group C2/m (No. 12)
Unique sites:
Cd 0.000 0.000 0.000 [2 per cell]
Cd 0.245 0.000 0.742 [4 per cell]
Ag 0.000 0.500 0.500 [2 per cell]